Compound: MnCr2Ir
Source: the Alexandria database
Functional: PBE
Structure: optimized geometry

Output
Its density is 10.944 g/cm3. The calculated total energy comes out at -9.348 eV per atom. As for the space group: Pmmm, No. 47.

Lattice parameters (Å, degrees): 3.0761 4.1139 4.2104 90.00 90.00 90.00
Last column: nearest neighbours and their distance in Å.
Fractional coordinates of all 4 atoms:
Mn  0.0000  0.0000  0.0000  4 Ir 2.57, 4 Cr 2.61
Cr  0.0000  0.5000  0.5000  4 Cr 2.57, 4 Ir 2.61
Cr  0.5000  0.0000  0.5000  4 Cr 2.57, 4 Mn 2.61
Ir  0.5000  0.5000  0.0000  4 Mn 2.57, 4 Cr 2.61

=====

Compound: InHg2BiBr4
Source: the Alexandria database
Functional: PBE
Structure: optimized geometry

Output
Its density is 5.615 g/cm3. The calculated total energy comes out at -2.226 eV per atom. The uncorrected formation energy is -0.49 eV/atom. As for the space group: P1, No. 1.

Lattice parameters (Å, degrees): 5.7553 7.9725 8.0061 66.05 68.99 89.89
Last column: nearest neighbours and their distance in Å.
Fractional coordinates of all 8 atoms:
In  0.0000  0.0000  0.0000  3 Br 3.15-3.18, 2 Hg 3.28-3.34
Hg  0.1852  0.8679  0.6324  1 Bi 3.32, 1 In 3.34, 2 Hg 3.35, 1 Br 3.65
Hg  0.7593  0.7535  0.4839  1 In 3.28, 2 Hg 3.35
Bi  0.3412  0.3174  0.3199  5 Br 2.70-2.90
Br  0.1760  0.4039  0.6487  1 Bi 2.83, 1 In 3.15
Br  0.4716  0.1369  0.0584  1 Bi 2.89, 2 In 3.17-3.18
Br  0.4863  0.6694  0.0289  1 Bi 2.70
Br  0.8275  0.2642  0.3477  2 Bi 2.90

=====

Compound: PmCoC2
Source: the Alexandria database
Functional: PBE
Structure: optimized geometry

Output
Its density is 7.325 g/cm3. The calculated total energy comes out at -7.852 eV per atom. As for the space group: Amm2, No. 38.

Lattice parameters (Å, degrees): 3.7621 3.7833 3.7833 73.67 90.00 90.00
Last column: nearest neighbours and their distance in Å.
Fractional coordinates of all 4 atoms:
Pm  0.0000  0.0000  0.0000  8 C 2.72-2.73, 6 Co 2.99-3.03
Co  0.5000  0.3838  0.3838  4 C 1.95-2.00
C  0.5000  0.5422  0.8460  1 C 1.38
C  0.5000  0.8460  0.5422  1 C 1.38

=====

Compound: NbCr2Hg
Source: the Alexandria database
Functional: PBE
Structure: optimized geometry

Output
Its density is 9.003 g/cm3. The calculated total energy comes out at -6.509 eV per atom. As for the space group: I-42d, No. 122.

Lattice parameters (Å, degrees): 5.8058 5.8058 5.8058 104.39 104.39 120.19
Last column: nearest neighbours and their distance in Å.
Fractional coordinates of all 8 atoms:
Nb  0.0000  0.0000  0.0000  4 Cr 2.54
Nb  0.7500  0.2500  0.5000  4 Cr 2.54
Cr  0.1083  0.1250  0.4833  2 Nb 2.54, 2 Hg 2.70
Cr  0.3750  0.8917  0.0167  2 Nb 2.54, 2 Hg 2.70
Cr  0.6417  0.6250  0.5167  2 Nb 2.54, 2 Hg 2.70
Cr  0.8750  0.3583  0.9833  2 Nb 2.54, 2 Hg 2.70
Hg  0.2500  0.7500  0.5000  4 Cr 2.70, 2 Nb 2.89
Hg  0.5000  0.5000  0.0000  4 Cr 2.70, 2 Nb 2.89

=====

Compound: DyInBr2
Source: the Alexandria database
Functional: PBE
Structure: optimized geometry

Output
Its density is 5.240 g/cm3. The calculated total energy comes out at -3.374 eV per atom. The uncorrected formation energy is -0.70 eV/atom. As for the space group: R-3m, No. 166.

Lattice parameters (Å, degrees): 10.5959 10.5959 10.5959 21.38 21.38 21.38
Last column: nearest neighbours and their distance in Å.
Fractional coordinates of all 4 atoms:
Dy  0.0000  0.0000  0.0000  2 Br 2.72
In  0.5000  0.5000  0.5000  6 Br 3.34
Br  0.0876  0.0876  0.0876  1 Dy 2.72
Br  0.9124  0.9124  0.9124  1 Dy 2.72

=====

Compound: HoEr2Pt3
Source: the Alexandria database
Functional: PBE
Structure: optimized geometry

Output
Its density is 14.393 g/cm3. The calculated total energy comes out at -6.563 eV per atom. As for the space group: Cmmm, No. 65.

Lattice parameters (Å, degrees): 7.7870 7.7870 3.4399 90.00 90.00 143.13
Last column: nearest neighbours and their distance in Å.
Fractional coordinates of all 6 atoms:
Ho  0.0000  0.0000  0.0000  8 Pt 3.00-3.02
Er  0.3333  0.6667  0.0000  8 Pt 2.99-3.00
Er  0.6667  0.3333  0.0000  8 Pt 2.99-3.00
Pt  0.1678  0.8322  0.5000  6 Er 2.99-3.00, 2 Ho 3.02
Pt  0.5000  0.5000  0.5000  4 Ho 3.00, 4 Er 3.00
Pt  0.8322  0.1678  0.5000  6 Er 2.99-3.00, 2 Ho 3.02

=====

Compound: Y2Cr2Pb
Source: the Alexandria database
Functional: PBE
Structure: optimized geometry

Output
Its density is 7.251 g/cm3. The calculated total energy comes out at -6.976 eV per atom. As for the space group: I4/mmm, No. 139.

Lattice parameters (Å, degrees): 9.9823 9.9823 9.9823 160.39 160.39 27.87
Last column: nearest neighbours and their distance in Å.
Fractional coordinates of all 5 atoms:
Y  0.1235  0.1235  0.0000  4 Cr 2.98
Y  0.8765  0.8765  0.0000  4 Cr 2.98
Cr  0.2500  0.7500  0.5000  4 Cr 2.40
Cr  0.7500  0.2500  0.5000  4 Cr 2.40
Pb  0.5000  0.5000  0.0000  8 Y 3.39, 4 Pb 3.40

=====

Compound: KBe2BiBr
Source: the Alexandria database
Functional: PBE
Structure: optimized geometry

Output
Its density is 3.817 g/cm3. The calculated total energy comes out at -1.787 eV per atom. The uncorrected formation energy is 1.03 eV/atom. As for the space group: P4/mmm, No. 123.

Lattice parameters (Å, degrees): 5.0263 5.0263 5.9588 90.00 90.00 90.00
Last column: nearest neighbours and their distance in Å.
Fractional coordinates of all 5 atoms:
K  0.0000  0.0000  0.0000  4 Bi 3.55, 8 Be 3.90
Be  0.0000  0.5000  0.5000  2 Br 2.51
Be  0.5000  0.0000  0.5000  2 Br 2.51
Bi  0.5000  0.5000  0.0000  2 Br 2.98
Br  0.5000  0.5000  0.5000  4 Be 2.51

=====

Compound: Rb4HoPa3S12
Source: the Alexandria database
Functional: PBE
Structure: optimized geometry

Output
Its density is 4.436 g/cm3. The calculated total energy comes out at -5.801 eV per atom. The uncorrected formation energy is -1.48 eV/atom. As for the space group: Im-3m, No. 229.

Lattice parameters (Å, degrees): 9.1682 9.1682 9.1682 109.47 109.47 109.47
Last column: nearest neighbours and their distance in Å.
Fractional coordinates of all 20 atoms:
Rb  0.0000  0.0000  0.5000  12 S 3.74
Rb  0.0000  0.5000  0.0000  12 S 3.74
Rb  0.5000  0.0000  0.0000  12 S 3.74
Rb  0.5000  0.5000  0.5000  12 S 3.74
Ho  0.0000  0.0000  0.0000  6 S 2.71
Pa  0.0000  0.5000  0.5000  6 S 2.58-2.65
Pa  0.5000  0.0000  0.5000  6 S 2.58-2.65
Pa  0.5000  0.5000  0.0000  6 S 2.58-2.65
S  0.0000  0.2558  0.2558  1 Pa 2.58, 1 Ho 2.71
S  0.0000  0.7442  0.7442  1 Pa 2.58, 1 Ho 2.71
S  0.2500  0.5000  0.7500  2 Pa 2.65
S  0.2500  0.7500  0.5000  2 Pa 2.65
S  0.2558  0.0000  0.2558  1 Pa 2.58, 1 Ho 2.71
S  0.2558  0.2558  0.0000  1 Pa 2.58, 1 Ho 2.71
S  0.5000  0.2500  0.7500  2 Pa 2.65
S  0.5000  0.7500  0.2500  2 Pa 2.65
S  0.7442  0.0000  0.7442  1 Pa 2.58, 1 Ho 2.71
S  0.7442  0.7442  0.0000  1 Pa 2.58, 1 Ho 2.71
S  0.7500  0.2500  0.5000  2 Pa 2.65
S  0.7500  0.5000  0.2500  2 Pa 2.65

=====

Compound: NdZrIrPd
Source: the Alexandria database
Functional: PBE
Structure: optimized geometry

Output
Its density is 10.805 g/cm3. The calculated total energy comes out at -7.436 eV per atom. As for the space group: F-43m, No. 216.

Lattice parameters (Å, degrees): 4.8781 4.8781 4.8781 60.00 60.00 60.00
Last column: nearest neighbours and their distance in Å.
Fractional coordinates of all 4 atoms:
Nd  0.0000  0.0000  0.0000  4 Ir 2.99, 4 Pd 2.99
Zr  0.5000  0.5000  0.5000  4 Ir 2.99, 4 Pd 2.99
Ir  0.7500  0.7500  0.7500  4 Zr 2.99, 4 Nd 2.99
Pd  0.2500  0.2500  0.2500  4 Zr 2.99, 4 Nd 2.99

=====

Compound: Ac5La2NdY
Source: the Alexandria database
Functional: PBE
Structure: optimized geometry

Output
Its density is 7.296 g/cm3. The calculated total energy comes out at -4.504 eV per atom. As for the space group: Cmcm, No. 63.

Lattice parameters (Å, degrees): 11.8295 11.8295 11.0853 90.00 90.00 151.12
Last column: nearest neighbours and their distance in Å.
Fractional coordinates of all 18 atoms:
Ac  0.0000  0.0000  0.0000  2 Y 3.59, 4 La 3.94
Ac  0.0000  0.0000  0.5000  2 Y 3.59, 4 La 3.94
Ac  0.1308  0.8692  0.7500  1 Nd 3.92, 4 La 4.00, 6 Ac 4.04-4.26
Ac  0.2199  0.7801  0.0644  1 Y 3.44, 2 Ac 3.56, 2 Nd 3.63, 1 La 3.85
Ac  0.2199  0.7801  0.4356  1 Y 3.44, 2 Ac 3.56, 2 Nd 3.63, 1 La 3.85
Ac  0.4969  0.5031  0.7500  2 Y 3.68, 4 La 3.79-3.83, 4 Ac 4.05
Ac  0.5031  0.4969  0.2500  2 Y 3.68, 4 La 3.79-3.83, 4 Ac 4.05
Ac  0.7801  0.2199  0.5644  1 Y 3.44, 2 Ac 3.56, 2 Nd 3.63, 1 La 3.85
Ac  0.7801  0.2199  0.9356  1 Y 3.44, 2 Ac 3.56, 2 Nd 3.63, 1 La 3.85
Ac  0.8692  0.1308  0.2500  1 Nd 3.92, 4 La 4.00, 6 Ac 4.04-4.26
La  0.3859  0.6141  0.0084  1 Nd 3.45, 3 Ac 3.79-3.85
La  0.3859  0.6141  0.4916  1 Nd 3.45, 3 Ac 3.79-3.85
La  0.6141  0.3859  0.5084  1 Nd 3.45, 3 Ac 3.79-3.85
La  0.6141  0.3859  0.9916  1 Nd 3.45, 3 Ac 3.79-3.85
Nd  0.3018  0.6982  0.7500  2 La 3.45, 4 Ac 3.63, 2 Y 3.72
Nd  0.6982  0.3018  0.2500  2 La 3.45, 4 Ac 3.63, 2 Y 3.72
Y  0.0993  0.9007  0.2500  6 Ac 3.44-3.68, 2 Nd 3.72
Y  0.9007  0.0993  0.7500  6 Ac 3.44-3.68, 2 Nd 3.72

=====

Compound: CdBi2Cl8
Source: the Alexandria database
Functional: PBE
Structure: optimized geometry

Output
Its density is 3.934 g/cm3. The calculated total energy comes out at -3.105 eV per atom. The uncorrected formation energy is -0.97 eV/atom. As for the space group: C2/m, No. 12.

Lattice parameters (Å, degrees): 9.6332 9.6332 9.5837 90.94 90.94 22.73
Last column: nearest neighbours and their distance in Å.
Fractional coordinates of all 11 atoms:
Cd  0.0000  0.0000  0.0000  6 Cl 2.63-2.72
Bi  0.3439  0.3439  0.7298  7 Cl 2.74-3.02
Bi  0.6561  0.6561  0.2702  7 Cl 2.74-3.02
Cl  0.0977  0.0977  0.4399  2 Bi 2.74
Cl  0.1427  0.1427  0.0438  1 Cd 2.72, 2 Bi 2.89
Cl  0.2625  0.2625  0.3100  2 Bi 2.79
Cl  0.5005  0.5005  0.1905  2 Cd 2.63
Cl  0.4995  0.4995  0.8095  2 Cd 2.63
Cl  0.7375  0.7375  0.6900  2 Bi 2.79
Cl  0.8573  0.8573  0.9562  1 Cd 2.72, 2 Bi 2.89
Cl  0.9023  0.9023  0.5601  2 Bi 2.74

=====

Compound: NbCdGa2
Source: the Alexandria database
Functional: PBE
Structure: optimized geometry

Output
Its density is 8.194 g/cm3. The calculated total energy comes out at -4.319 eV per atom. As for the space group: P4/mmm, No. 123.

Lattice parameters (Å, degrees): 4.2427 4.2427 3.8816 90.00 90.00 90.00
Last column: nearest neighbours and their distance in Å.
Fractional coordinates of all 4 atoms:
Nb  0.0000  0.0000  0.0000  8 Ga 2.88, 4 Cd 3.00
Cd  0.5000  0.5000  0.0000  8 Ga 2.88, 4 Nb 3.00
Ga  0.0000  0.5000  0.5000  4 Cd 2.88, 4 Nb 2.88, 4 Ga 3.00
Ga  0.5000  0.0000  0.5000  4 Cd 2.88, 4 Nb 2.88, 4 Ga 3.00

=====

Compound: Al2Zn3Se6
Source: the Alexandria database
Functional: PBE
Structure: optimized geometry

Output
Its density is 5.020 g/cm3. The calculated total energy comes out at -3.505 eV per atom. The uncorrected formation energy is -0.58 eV/atom. As for the space group: C2/c, No. 15.

Lattice parameters (Å, degrees): 6.9070 6.9070 13.2600 109.92 109.92 55.09
Last column: nearest neighbours and their distance in Å.
Fractional coordinates of all 22 atoms:
Al  0.1552  0.1729  0.4922  5 Se 2.50-2.64
Al  0.1729  0.1552  0.9922  5 Se 2.50-2.64
Al  0.8271  0.8448  0.0078  5 Se 2.50-2.64
Al  0.8448  0.8271  0.5078  5 Se 2.50-2.64
Zn  0.0554  0.2849  0.7453  4 Se 2.43-2.62
Zn  0.2849  0.0554  0.2453  4 Se 2.43-2.62
Zn  0.3944  0.6056  0.7500  4 Se 2.53-2.57
Zn  0.6056  0.3944  0.2500  4 Se 2.53-2.57
Zn  0.7151  0.9446  0.7547  4 Se 2.43-2.62
Zn  0.9446  0.7151  0.2547  4 Se 2.43-2.62
Se  0.1041  0.8188  0.8795  2 Zn 2.45-2.53, 1 Al 2.50
Se  0.1436  0.4510  0.3935  2 Zn 2.51-2.62, 2 Al 2.57-2.62
Se  0.1812  0.8959  0.6205  2 Zn 2.45-2.53, 1 Al 2.50
Se  0.1988  0.5157  0.1189  2 Zn 2.43-2.57, 2 Al 2.55-2.64
Se  0.4510  0.1436  0.8935  2 Zn 2.51-2.62, 2 Al 2.57-2.62
Se  0.4843  0.8012  0.3811  2 Zn 2.43-2.57, 2 Al 2.55-2.64
Se  0.5157  0.1988  0.6189  2 Zn 2.43-2.57, 2 Al 2.55-2.64
Se  0.5490  0.8564  0.1065  2 Zn 2.51-2.62, 2 Al 2.57-2.62
Se  0.8012  0.4843  0.8811  2 Zn 2.43-2.57, 2 Al 2.55-2.64
Se  0.8188  0.1041  0.3795  2 Zn 2.45-2.53, 1 Al 2.50
Se  0.8564  0.5490  0.6065  2 Zn 2.51-2.62, 2 Al 2.57-2.62
Se  0.8959  0.1812  0.1205  2 Zn 2.45-2.53, 1 Al 2.50